1.
# BaGaS3

Crystalline BaGaS3 at its relaxed geometry (PBE, the Alexandria database).

```
data_BaGaS3
_cell_length_a 4.983
_cell_length_b 7.345
_cell_length_c 7.453
_cell_angle_alpha 81.89
_cell_angle_beta 93.55
_cell_angle_gamma 95.31
_space_group_name_H-M_alt 'P 1'
_space_group_IT_number 1
loop_
_space_group_symop_operation_xyz
'x,y,z'
loop_
_atom_site_label
_atom_site_fract_x
_atom_site_fract_y
_atom_site_fract_z
Ba1 0.986 0.171 0.544
Ba2 0.498 0.733 0.238
Ga1 0.799 0.636 0.763
Ga2 0.686 0.268 0.019
S1 0.514 0.374 0.733
S2 0.970 0.530 0.050
S3 0.462 0.167 0.270
S4 0.575 0.894 0.816
S5 0.910 0.010 0.966
S6 0.022 0.737 0.512
```

Relative energy among the computed polymorphs (eV per atom): 0.000
Size of the total moment (Bohr magnetons per cell): 0.00
Space-group type: P-1, No. 2
DFT total energy (eV per atom): -4.6763
Energy relative to the elements, uncorrected (eV/f.u.): -6.0

2.
# LaTb2Dy4Tm

Crystalline LaTb2Dy4Tm at its relaxed geometry (PBE, the Alexandria database).

```
data_LaTb2Dy4Tm
_cell_length_a 11.692
_cell_length_b 6.762
_cell_length_c 13.024
_cell_angle_alpha 116.52
_cell_angle_beta 140.54
_cell_angle_gamma 85.35
_space_group_name_H-M_alt 'P 1'
_space_group_IT_number 1
loop_
_space_group_symop_operation_xyz
'x,y,z'
loop_
_atom_site_label
_atom_site_fract_x
_atom_site_fract_y
_atom_site_fract_z
La1 0.697 0.659 0.698
La2 0.196 0.162 0.195
Tb1 0.429 0.963 0.929
Tb2 0.563 0.060 0.563
Tb3 0.063 0.058 0.563
Tb4 0.564 0.558 0.064
Dy1 0.140 0.603 0.866
Dy2 0.640 0.105 0.366
Dy3 0.253 0.754 0.487
Dy4 0.755 0.255 0.989
Dy5 0.867 0.878 0.141
Dy6 0.489 0.521 0.254
Dy7 0.364 0.377 0.638
Dy8 0.987 0.020 0.753
Tm1 0.063 0.562 0.063
Tm2 0.928 0.464 0.428
```

Size of the total moment (Bohr magnetons per cell): 0.00
Space-group type: P1, No. 1
DFT total energy (eV per atom): -4.5982

3.
# Ga2GeSb

Crystalline Ga2GeSb at its relaxed geometry (PBE, the Alexandria database).

```
data_Ga2GeSb
_cell_length_a 6.017
_cell_length_b 6.017
_cell_length_c 7.308
_cell_angle_alpha 65.69
_cell_angle_beta 65.69
_cell_angle_gamma 90.00
_space_group_name_H-M_alt 'P 1'
_space_group_IT_number 1
loop_
_space_group_symop_operation_xyz
'x,y,z'
loop_
_atom_site_label
_atom_site_fract_x
_atom_site_fract_y
_atom_site_fract_z
Sb1 0.000 0.000 0.000
Sb2 0.750 0.250 0.500
Ge1 0.500 0.500 0.000
Ge2 0.250 0.750 0.500
Ga1 0.597 0.125 0.250
Ga2 0.153 0.625 0.250
Ga3 0.375 0.403 0.750
Ga4 0.875 0.847 0.750
```

Relative energy among the computed polymorphs (eV per atom): 0.000
Size of the total moment (Bohr magnetons per cell): 0.00
Space-group type: I-42d, No. 122
DFT total energy (eV per atom): -3.7027
Energy relative to the elements, uncorrected (eV/f.u.): 0.0

4.
# SmErAs2Rh5

Crystalline SmErAs2Rh5 at its relaxed geometry (PBE, the Alexandria database).

```
data_SmErAs2Rh5
_cell_length_a 4.256
_cell_length_b 4.256
_cell_length_c 8.787
_cell_angle_alpha 90.00
_cell_angle_beta 90.00
_cell_angle_gamma 90.00
_space_group_name_H-M_alt 'P 1'
_space_group_IT_number 1
loop_
_space_group_symop_operation_xyz
'x,y,z'
loop_
_atom_site_label
_atom_site_fract_x
_atom_site_fract_y
_atom_site_fract_z
Sm1 0.000 0.000 0.500
Er1 0.000 0.000 0.000
As1 0.500 0.500 0.145
As2 0.500 0.500 0.855
Rh1 0.000 0.500 0.263
Rh2 0.500 0.000 0.263
Rh3 0.000 0.500 0.737
Rh4 0.500 0.000 0.737
Rh5 0.500 0.500 0.500
```

Size of the total moment (Bohr magnetons per cell): 0.00
Space-group type: P4/mmm, No. 123
DFT total energy (eV per atom): -6.9041

5.
# Sr2Ho2Tl7

Crystalline Sr2Ho2Tl7 at its relaxed geometry (PBE, the Alexandria database).

```
data_Sr2Ho2Tl7
_cell_length_a 7.871
_cell_length_b 6.371
_cell_length_c 7.871
_cell_angle_alpha 90.00
_cell_angle_beta 95.47
_cell_angle_gamma 90.00
_space_group_name_H-M_alt 'P 1'
_space_group_IT_number 1
loop_
_space_group_symop_operation_xyz
'x,y,z'
loop_
_atom_site_label
_atom_site_fract_x
_atom_site_fract_y
_atom_site_fract_z
Sr1 0.807 0.500 0.807
Sr2 0.193 0.500 0.193
Ho1 0.732 0.000 0.268
Ho2 0.268 0.000 0.732
Tl1 0.000 0.253 0.500
Tl2 0.500 0.747 0.000
Tl3 0.000 0.747 0.500
Tl4 0.500 0.253 0.000
Tl5 0.000 0.000 0.000
Tl6 0.500 0.741 0.500
Tl7 0.500 0.259 0.500
```

Size of the total moment (Bohr magnetons per cell): 0.00
Space-group type: Cmmm, No. 65
DFT total energy (eV per atom): -2.6377

6.
# NdScBe

Crystalline NdScBe at its relaxed geometry (PBE, the Alexandria database).

```
data_NdScBe
_cell_length_a 3.406
_cell_length_b 3.406
_cell_length_c 6.344
_cell_angle_alpha 105.57
_cell_angle_beta 105.57
_cell_angle_gamma 90.00
_space_group_name_H-M_alt 'P 1'
_space_group_IT_number 1
loop_
_space_group_symop_operation_xyz
'x,y,z'
loop_
_atom_site_label
_atom_site_fract_x
_atom_site_fract_y
_atom_site_fract_z
Sc1 0.293 0.293 0.587
Be1 0.686 0.686 0.372
Nd1 0.020 0.020 0.041
```

Size of the total moment (Bohr magnetons per cell): 0.00
Space-group type: I4mm, No. 107
DFT total energy (eV per atom): -4.8358

7.
# ZnAg2B

Crystalline ZnAg2B at its relaxed geometry (PBE, the Alexandria database).

```
data_ZnAg2B
_cell_length_a 7.997
_cell_length_b 7.997
_cell_length_c 6.034
_cell_angle_alpha 48.49
_cell_angle_beta 48.49
_cell_angle_gamma 90.00
_space_group_name_H-M_alt 'P 1'
_space_group_IT_number 1
loop_
_space_group_symop_operation_xyz
'x,y,z'
loop_
_atom_site_label
_atom_site_fract_x
_atom_site_fract_y
_atom_site_fract_z
Zn1 0.000 0.000 0.000
Zn2 0.750 0.250 0.500
B1 0.500 0.500 0.000
B2 0.250 0.750 0.500
Ag1 0.493 0.125 0.250
Ag2 0.257 0.625 0.250
Ag3 0.375 0.507 0.750
Ag4 0.875 0.743 0.750
```

Relative energy among the computed polymorphs (eV per atom): 0.000
Size of the total moment (Bohr magnetons per cell): 0.00
Space-group type: I-42d, No. 122
DFT total energy (eV per atom): -2.8674

8.
# Ba2NaLi2Pt

Crystalline Ba2NaLi2Pt at its relaxed geometry (PBE, the Alexandria database).

```
data_Ba2NaLi2Pt
_cell_length_a 7.099
_cell_length_b 8.917
_cell_length_c 8.910
_cell_angle_alpha 120.03
_cell_angle_beta 113.48
_cell_angle_gamma 90.00
_space_group_name_H-M_alt 'P 1'
_space_group_IT_number 1
loop_
_space_group_symop_operation_xyz
'x,y,z'
loop_
_atom_site_label
_atom_site_fract_x
_atom_site_fract_y
_atom_site_fract_z
Ba1 0.674 0.818 0.348
Ba2 0.174 0.530 0.348
Ba3 0.826 0.470 0.652
Ba4 0.326 0.182 0.652
Na1 0.250 0.000 0.000
Na2 0.750 0.000 0.000
Li1 0.437 0.631 0.875
Li2 0.563 0.369 0.125
Li3 0.063 0.757 0.125
Li4 0.937 0.243 0.875
Pt1 0.750 0.500 0.000
Pt2 0.250 0.500 0.000
```

Size of the total moment (Bohr magnetons per cell): 0.00
Space-group type: Ibam, No. 72
DFT total energy (eV per atom): -2.7462